one.
VASP calculation (PBE-GGA) on crystalline TbHo4Al2 at its relaxed geometry.

## Properties
SG: R-3m (166)
Size of the total moment: 0.00 μB/f.u.
V: 31.1 Å³ per atom

a b c (Å): 5.003 5.003 10.446
angles (deg): 76.14 76.14 60.00
Element x y z (fractional)
Al  0.600  0.600  0.200
Al  0.400  0.400  0.800
Ho  0.702  0.702  0.894
Ho  0.298  0.298  0.106
Ho  0.102  0.102  0.694
Ho  0.898  0.898  0.306
Tb  0.500  0.500  0.500

two.
VASP calculation (PBE-GGA) on crystalline TbHo4Al2 at its relaxed geometry.

## Properties
SG: Fmmm (69)
Size of the total moment: 0.00 μB/f.u.
V: 28.4 Å³ per atom

a b c (Å): 10.402 6.704 6.611
angles (deg): 120.47 90.00 90.00
Element x y z (fractional)
Ho  0.339  0.999  0.000
Ho  0.839  0.501  0.000
Ho  0.750  0.500  0.500
Ho  0.250  0.500  0.500
Ho  0.161  0.499  0.000
Ho  0.750  0.000  0.500
Ho  0.250  0.000  0.500
Ho  0.661  0.001  0.000
Tb  0.000  0.000  0.000
Tb  0.500  0.500  0.000
Al  0.000  0.271  0.543
Al  0.500  0.771  0.543
Al  0.000  0.729  0.457
Al  0.500  0.229  0.457

Looking at the structures above, two is most stable, and the difference to the next one is 0.132 eV/atom.